Here is a relaxed PaTiV2O6 crystal from the Alexandria database. Energies are from PBE+U.

a = 5.395 Å, b = 5.393 Å, c = 5.802 Å
α = 62.28°, β = 62.30°, γ = 59.99°
Each line ends with the local moment (μB).
Element x y z (fractional)
Pa 0.815 0.815 0.556  -0.03
Ti 0.317 0.317 0.049  -0.53
V 0.515 0.515 0.454  2.55
V 0.015 0.015 0.955  2.57
O 0.595 0.225 0.242  0.01
O 0.225 0.938 0.243  0.01
O 0.938 0.595 0.243  0.01
O 0.408 0.708 0.758  0.00
O 0.708 0.126 0.758  0.00
O 0.126 0.408 0.758  0.00

Crystal system: trigonal
M_tot: 5.0 μB per cell
Calculated total energy: -88.12 eV for the cell shown
Space group: R3